Density functional theory data (PBE) for MgZr2AuN after structural relaxation.

Results
energy = -6.8785 eV/atom
raw formation energy = -820 meV/atom
space-group type = P4/mmm (123)

abc: 4.4662 4.4662 4.2746
angles: 90.00 90.00 90.00
Fractional positions:
1 N 0.0000 0.0000 0.0000
2 Au 0.5000 0.5000 0.5000
3 Zr 0.0000 0.5000 0.0000
4 Zr 0.5000 0.0000 0.0000
5 Mg 0.0000 0.0000 0.5000